Material: FeH2C2O4
Method: DFT, GGA+U
State: relaxed

The space group is C2/c (No. 15) and the conventional cell measures 12.671, 5.319 and 9.610 Å, with angles of 90.00, 130.87 and 90.00 degrees. The distinct sites, in fractional coordinates, are Fe at (0.000, 0.138, 0.250), H at (0.126, 0.139, 0.243), C at (0.054, 0.362, 0.855), O at (0.094, 0.425, 0.435) and O at (0.096, 0.149, 0.934).

The value obtained for the calculated total energy is -6.1700 eV per atom. For the spin magnetization, the calculation gives 15.98 μB per cell. The calculation puts the theoretical density at 2.0 g/cm3.